# InNi2IrO6 (GGA+U, optimized geometry)
# - DFT total energy (eV per atom) = -5.226
# - density of states at the Fermi level (states/eV/f.u.) = 1.41
data_InNi2IrO6
_chemical_formula_sum 'In1 Ni2 Ir1 O6'
_cell_length_a 5.913
_cell_length_b 5.913
_cell_length_c 3.898
_cell_angle_alpha 90.00
_cell_angle_beta 90.00
_cell_angle_gamma 90.00
_symmetry_space_group_name_H-M 'P 4 m m'
_symmetry_Int_Tables_number 99
_symmetry_space_group_name_Hall 'P 4 -2'
loop_
_atom_site_label
_atom_site_type_symbol
_atom_site_fract_x
_atom_site_fract_y
_atom_site_fract_z
In1 In 0.000 0.000 0.000
Ni1 Ni 0.000 0.500 0.167
Ir1 Ir 0.500 0.500 0.057
O1 O 0.000 0.000 0.507
O2 O 0.262 0.262 0.090
O3 O 0.500 0.500 0.570